Entry from Alexandria: a relaxed Al2IrAu crystal (GGA-PBE).

Output
As for the calculated density: 12.15 g/cm³. Its formation enthalpy at 0 K is -508 meV/atom. As for the density of states at the Fermi level: 0.355 states/eV per atom. The energy is -5.41 eV/atom.

Lattice parameters (Å, degrees): 3.7646 3.7646 8.5442 90.00 90.00 90.00
Last column: nearest neighbours and their distance in Å.
Space group I-4m2 (No. 119)
Unique sites:
1 Al 0.0000 0.0000 0.0000 x2  4 Au 2.66, 4 Ir 2.85, 4 Al 2.85
2 Al 0.0000 0.5000 0.2500 x2  4 Ir 2.66, 4 Al 2.85, 4 Au 2.85
3 Ir 0.0000 0.5000 0.7500 x2  8 Al 2.66-2.85, 4 Au 2.85
4 Au 0.0000 0.0000 0.5000 x2  8 Al 2.66-2.85, 4 Ir 2.85